Compound: Rb2LaBiTe4
Source: Alexandria
Functional: PBE-GGA
Structure: relaxed

Results
Its energy relative to the elements, uncorrected is -1.0457 eV per atom.

```
data_Rb2LaBiTe4
_chemical_formula_sum 'Rb2 La1 Bi1 Te4'
_symmetry_space_group_name_H-M 'P 1 2/m 1'
_symmetry_Int_Tables_number 10
_cell_length_a 8.1375
_cell_length_b 4.6790
_cell_length_c 8.9873
_cell_angle_alpha 90.00
_cell_angle_beta 107.43
_cell_angle_gamma 90.00
loop_
_symmetry_equiv_pos_as_xyz
'x,y,z'
'-x,-y,-z'
'-x,y,-z'
'x,-y,z'
loop_
_atom_site_label
_atom_site_type_symbol
_atom_site_fract_x
_atom_site_fract_y
_atom_site_fract_z
Rb1 Rb 0.0000 0.0000 0.0000
Rb2 Rb 0.5000 0.5000 0.0000
La1 La 0.0000 0.5000 0.5000
Bi1 Bi 0.5000 0.0000 0.5000
Te1 Te 0.2396 0.0000 0.7060
Te2 Te 0.2701 0.5000 0.2965
```